# 1
Here is a relaxed Pm3Se2S crystal from Alexandria. Energies are from PBE.

Lattice parameters (Å, degrees): 4.0990 4.0990 20.9716 90.00 90.00 120.00
Space group P6_3/mmc (No. 194)
Symmetry-distinct sites (fractional):
Pm: 0.0000 0.0000 0.0000 x2
Pm: 0.3333 0.6667 0.1660 x4
Se: 0.3333 0.6667 0.5839 x4
S: 0.0000 0.0000 0.2500 x2

Computed properties:
Polymorph energy (0 for the lowest one) ... 0.0000 eV per atom

# 2
Here is a relaxed Pm3SeS3 crystal from Alexandria. Energies are from PBE.

Lattice parameters (Å, degrees): 11.6323 11.6323 5.6631 90.00 90.00 90.00
Space group P4_2/mnm (No. 136)
Symmetry-distinct sites (fractional):
Pm: 0.1222 0.3715 0.0000 x8
Pm: 0.1244 0.1244 0.5000 x4
Se: 0.1259 0.8741 0.5000 x4
S: 0.1182 0.3731 0.5000 x8
S: 0.1332 0.1332 0.0000 x4

Computed properties:
Polymorph energy (0 for the lowest one) ... 0.0000 eV per atom

| no. | ΔE_f (raw) (kJ/mol of atoms) | calculated volume (Å³ per atom) |
| --- | --- | --- |
| 1 | -178.52 | 25.43 |
| 2 | -191.62 | 27.37 |